1.
Entry from Alexandria: crystalline CaTb5Hg3 at its relaxed geometry (GGA-PBE).

**DFT formation energy**: -0.31 eV per atom
**ρ**: 9.49 g/cm3
**Volume**: 502.7 Å³/cell

Unit cell a=9.1384 b=9.1384 c=6.9508 alpha=90.00 beta=90.00 gamma=120.00
Space group P6_3/mcm (No. 193)
Unique sites:
Ca (0.0000, 0.0000, 0.0000) x2
Tb (0.0000, 0.3318, 0.2500) x6
Tb (0.3333, 0.6667, 0.0000) x4
Hg (0.0000, 0.3372, 0.7500) x6



2.
Entry from Alexandria: crystalline Ca5TbHg6 at its relaxed geometry (GGA-PBE).

**DFT formation energy**: -0.55 eV per atom
**ρ**: 8.04 g/cm3
**Volume**: 645.9 Å³/cell

Unit cell a=5.3258 b=15.9511 c=7.6030 alpha=90.00 beta=90.00 gamma=90.00
Space group Cmmm (No. 65)
Unique sites:
Ca (0.0000, 0.0000, 0.0000) x2
Ca (0.0000, 0.3323, 0.5000) x4
Ca (0.0000, 0.3329, 0.0000) x4
Tb (0.0000, 0.0000, 0.5000) x2
Hg (0.0000, 0.1638, 0.2541) x8
Hg (0.0000, 0.5000, 0.2585) x4



3.
Entry from Alexandria: crystalline Ca4TbHg2 at its relaxed geometry (GGA-PBE).

**DFT formation energy**: -0.12 eV per atom
**ρ**: 4.84 g/cm3
**Volume**: 741.5 Å³/cell

Unit cell a=5.7033 b=5.7033 c=26.3213 alpha=90.00 beta=90.00 gamma=120.00
Space group R-3m (No. 166, hexagonal axes)
Unique sites:
Ca (0.0000, 0.0000, 0.1136) x6
Ca (0.0000, 0.0000, 0.2729) x6
Tb (0.0000, 0.0000, 0.5000) x3
Hg (0.0000, 0.0000, 0.3902) x6